DFT (GGA-PBE) results for a relaxed structure of Cs2CeNbO6.

a b c (Å): 6.4492 6.4492 31.1000
angles (deg): 90.00 90.00 120.00
Space group R-3m (No. 166, hexagonal axes)
Symmetry-distinct sites (fractional):
Cs1 0.0000 0.0000 0.1315 x6
Cs2 0.0000 0.0000 0.2794 x6
Ce1 0.0000 0.0000 0.4013 x6
Nb1 0.0000 0.0000 0.0000 x3
Nb2 0.0000 0.0000 0.5000 x3
O1 0.0285 0.5142 0.7030 x18
O2 0.0601 0.5301 0.1242 x18

The volume comes out at 1120 Å³ per cell. The value obtained for the raw formation energy is -2.32 eV per atom. The raw total energy comes out at -423.692 eV/cell.